# 1
A crystal of TaAgO3 relaxed with PBEsol. Source: the Alexandria database, functional SCAN.

## Properties
Crystal system   trigonal
Symmetry   R-3c (167)
Total energy   -25.514 eV per atom
Formation energy (no corrections)   -2.185 eV per atom
Calculated volume   119.6 Å³/cell

abc: 5.4757 5.4757 5.5874
angles: 60.66 60.66 60.00
Fractional coordinates of all 10 atoms:
Ta (0.0000, 0.0000, 0.0000)
Ta (0.5000, 0.5000, 0.5000)
Ag (0.7500, 0.7500, 0.7500)
Ag (0.2500, 0.2500, 0.2500)
O (0.2500, 0.6808, 0.2500)
O (0.8192, 0.2500, 0.2500)
O (0.6808, 0.8192, 0.2500)
O (0.7500, 0.3192, 0.7500)
O (0.3192, 0.1808, 0.7500)
O (0.1808, 0.7500, 0.7500)


# 2
A crystal of CaTmZn2 relaxed with PBEsol. Source: the Alexandria database, functional SCAN.

## Properties
Crystal system   cubic
Symmetry   Fm-3m (225)
Formation enthalpy at 0 K   -32.78 kJ per mole of atoms
Total energy   -22.471 eV per atom
Calculated volume   86.8 Å³/cell

abc: 4.9708 4.9708 4.9708
angles: 60.00 60.00 60.00
Fractional coordinates of all 4 atoms:
Zn (0.7500, 0.7500, 0.7500)
Zn (0.2500, 0.2500, 0.2500)
Tm (0.0000, 0.0000, 0.0000)
Ca (0.5000, 0.5000, 0.5000)


# 3
A crystal of Hg2NF relaxed with PBEsol. Source: the Alexandria database, functional SCAN.

## Properties
Crystal system   cubic
Symmetry   Fm-3m (225)
Total energy   -36.815 eV per atom
Formation energy (no corrections)   0.476 eV per atom
Calculated volume   55.2 Å³/cell

abc: 4.2733 4.2733 4.2733
angles: 60.00 60.00 60.00
Fractional coordinates of all 4 atoms:
N (0.0000, 0.0000, 0.0000)
Hg (0.2500, 0.2500, 0.2500)
Hg (0.7500, 0.7500, 0.7500)
F (0.5000, 0.5000, 0.5000)


# 4
A crystal of Tm3Hg relaxed with PBEsol. Source: the Alexandria database, functional SCAN.

## Properties
Crystal system   cubic
Symmetry   Pm-3m (221)
Formation enthalpy at 0 K   -29.54 kJ per mole of atoms
Total energy   -56.222 eV per atom
Calculated volume   100.3 Å³/cell

abc: 4.6464 4.6464 4.6464
angles: 90.00 90.00 90.00
Last column: magnetic moment on the atom in μB.
Fractional coordinates of all 4 atoms:
Tm (0.0000, 0.5000, 0.5000)  0.23
Tm (0.5000, 0.0000, 0.5000)  0.23
Tm (0.5000, 0.5000, 0.0000)  0.23
Hg (0.0000, 0.0000, 0.0000)  0.00


# 5
A crystal of Gd relaxed with PBEsol. Source: the Alexandria database, functional SCAN.

## Properties
Crystal system   hexagonal
Symmetry   P6_3/mmc (194)
Formation enthalpy at 0 K   0.00 kJ per mole of atoms
Total energy   -58.816 eV per atom
E above lowest polymorph   0.00 eV/f.u.
Calculated volume   62.1 Å³/cell

abc: 3.5521 3.5521 5.6793
angles: 90.00 90.00 120.00
Last column: magnetic moment on the atom in μB.
Fractional coordinates of all 2 atoms:
Gd (0.3333, 0.6667, 0.2500)  -7.46
Gd (0.6667, 0.3333, 0.7500)  -7.46


# 6
A crystal of RbLiGa3 relaxed with PBEsol. Source: the Alexandria database, functional SCAN.

## Properties
Crystal system   cubic
Symmetry   Pm-3m (221)
Formation enthalpy at 0 K   112.17 kJ per mole of atoms
Total energy   -13.271 eV per atom
Calculated volume   197.3 Å³/cell

abc: 5.8214 5.8214 5.8214
angles: 90.00 90.00 90.00
Fractional coordinates of all 5 atoms:
Ga (0.0000, 0.5000, 0.0000)
Ga (0.0000, 0.0000, 0.5000)
Ga (0.5000, 0.0000, 0.0000)
Rb (0.0000, 0.0000, 0.0000)
Li (0.5000, 0.5000, 0.5000)


# 7
A crystal of CdCu2Br relaxed with PBEsol. Source: the Alexandria database, functional SCAN.

## Properties
Crystal system   orthorhombic
Symmetry   Imm2 (44)
Total energy   -19.926 eV per atom
Formation energy (no corrections)   0.142 eV per atom
E above lowest polymorph   0.35 eV/f.u.
Calculated volume   75.0 Å³/cell

abc: 3.5536 3.5144 6.5016
angles: 105.68 105.86 90.00
Fractional coordinates of all 4 atoms:
Br (0.4776, 0.4776, 0.9552)
Cd (0.2555, 0.7555, 0.5109)
Cu (0.0650, 0.0650, 0.1301)
Cu (0.7019, 0.2019, 0.4038)


# 8
A crystal of KBaTl2 relaxed with PBEsol. Source: the Alexandria database, functional SCAN.

## Properties
Crystal system   cubic
Symmetry   Fm-3m (225)
Formation enthalpy at 0 K   -34.20 kJ per mole of atoms
Total energy   -48.503 eV per atom
E above lowest polymorph   0.04 eV/f.u.
Calculated volume   141.8 Å³/cell

abc: 5.8534 5.8534 5.8534
angles: 60.00 60.00 60.00
Fractional coordinates of all 4 atoms:
K (0.0000, 0.0000, 0.0000)
Tl (0.2500, 0.2500, 0.2500)
Tl (0.7500, 0.7500, 0.7500)
Ba (0.5000, 0.5000, 0.5000)


# 9
A crystal of Co2Ge3Te3 relaxed with PBEsol. Source: the Alexandria database, functional SCAN.

## Properties
Crystal system   trigonal
Symmetry   R-3 (148)
Total energy   -25.652 eV per atom
Formation energy (no corrections)   -0.199 eV per atom
Calculated volume   644.1 Å³/cell

abc: 8.6359 8.6359 8.6359
angles: 89.98 89.98 89.98
Fractional coordinates of all 32 atoms:
Co (0.2448, 0.2448, 0.2448)
Co (0.7552, 0.7552, 0.7552)
Co (0.2493, 0.7478, 0.7463)
Co (0.7478, 0.7463, 0.2493)
Co (0.7463, 0.2493, 0.7478)
Co (0.7507, 0.2522, 0.2537)
Co (0.2522, 0.2537, 0.7507)
Co (0.2537, 0.7507, 0.2522)
Ge (0.9962, 0.1679, 0.3195)
Ge (0.1679, 0.3195, 0.9962)
Ge (0.3195, 0.9962, 0.1679)
Ge (0.0038, 0.8321, 0.6805)
Ge (0.8321, 0.6805, 0.0038)
Ge (0.6805, 0.0038, 0.8321)
Ge (0.5010, 0.3313, 0.8193)
Ge (0.3313, 0.8193, 0.5010)
Ge (0.8193, 0.5010, 0.3313)
Ge (0.4990, 0.6687, 0.1807)
Ge (0.6687, 0.1807, 0.4990)
Ge (0.1807, 0.4990, 0.6687)
Te (0.9990, 0.8510, 0.3444)
Te (0.8510, 0.3444, 0.9990)
Te (0.3444, 0.9990, 0.8510)
Te (0.0010, 0.1490, 0.6556)
Te (0.1490, 0.6556, 0.0010)
Te (0.6556, 0.0010, 0.1490)
Te (0.5046, 0.6483, 0.8449)
Te (0.6483, 0.8449, 0.5046)
Te (0.8449, 0.5046, 0.6483)
Te (0.4954, 0.3517, 0.1551)
Te (0.3517, 0.1551, 0.4954)
Te (0.1551, 0.4954, 0.3517)


# 10
A crystal of Li3Ni5O8 relaxed with PBEsol. Source: the Alexandria database, functional SCAN.

## Properties
Crystal system   trigonal
Symmetry   R-3m (166)
Total energy   -10.168 eV per atom
Formation energy (no corrections)   -1.550 eV per atom
Calculated volume   132.9 Å³/cell

abc: 5.7231 5.7231 5.7343
angles: 60.06 60.06 60.00
Last column: magnetic moment on the atom in μB.
Fractional coordinates of all 16 atoms:
Li (0.0000, 0.0000, 0.5000)  0.01
Li (0.5000, 0.0000, 0.5000)  0.01
Li (0.0000, 0.5000, 0.5000)  0.01
Ni (0.5000, 0.5000, 0.5000)  -1.64
Ni (0.0000, 0.0000, 0.0000)  1.48
Ni (0.5000, 0.0000, 0.0000)  1.02
Ni (0.5000, 0.5000, 0.0000)  1.02
Ni (0.0000, 0.5000, 0.0000)  1.02
O (0.2643, 0.2643, 0.2072)  -0.07
O (0.7499, 0.2618, 0.2385)  0.03
O (0.7499, 0.7499, 0.2385)  0.03
O (0.2618, 0.7499, 0.2385)  0.03
O (0.7382, 0.2501, 0.7615)  0.03
O (0.2501, 0.2501, 0.7615)  0.03
O (0.2501, 0.7382, 0.7615)  0.03
O (0.7357, 0.7357, 0.7928)  -0.07


# 11
A crystal of YBS2 relaxed with PBEsol. Source: the Alexandria database, functional SCAN.

## Properties
Crystal system   trigonal
Symmetry   R-3m (166)
Total energy   -14.313 eV per atom
Formation energy (no corrections)   -0.681 eV per atom
Calculated volume   81.0 Å³/cell

abc: 3.6834 3.6834 7.2146
angles: 75.21 75.21 60.00
Fractional coordinates of all 4 atoms:
Y (0.5000, 0.5000, 0.5000)
S (0.9168, 0.9168, 0.2497)
S (0.0832, 0.0832, 0.7503)
B (0.0000, 0.0000, 0.0000)


# 12
A crystal of BiPdBr2 relaxed with PBEsol. Source: the Alexandria database, functional SCAN.

## Properties
Crystal system   tetragonal
Symmetry   I-42d (122)
Total energy   -37.503 eV per atom
Formation energy (no corrections)   0.065 eV per atom
Calculated volume   189.0 Å³/cell

abc: 6.3119 6.3119 6.3119
angles: 104.67 104.67 119.57
Fractional coordinates of all 8 atoms:
Br (0.8275, 0.8750, 0.4525)
Br (0.4225, 0.3750, 0.5475)
Br (0.1250, 0.5775, 0.9525)
Br (0.6250, 0.1725, 0.0475)
Bi (0.0000, 0.0000, 0.0000)
Bi (0.2500, 0.7500, 0.5000)
Pd (0.5000, 0.5000, 0.0000)
Pd (0.7500, 0.2500, 0.5000)